Entry 1:
# Zr2BeSi

Crystalline Zr2BeSi at its relaxed geometry (PBE, Alexandria via LeMat-Bulk).

Lattice parameters (Å, degrees): 5.302 3.638 7.556 90.00 110.12 90.00
Fractional positions:
Zr 0.213 0.250 0.423
Zr 0.276 0.750 0.068
Zr 0.724 0.250 0.932
Zr 0.787 0.750 0.577
Be 0.148 0.250 0.783
Be 0.852 0.750 0.217
Si 0.354 0.750 0.715
Si 0.646 0.250 0.285

The value obtained for the formation energy from raw total energies is -0.648 eV per atom. The value obtained for the theoretical density is 5.33 g/cm³. The volume is 17.11 A^3/atom. The space group is P2_1/m.



Entry 2:
# Ac5Ga2Pb2

Crystalline Ac5Ga2Pb2 at its relaxed geometry (PBE, Alexandria via LeMat-Bulk).

Lattice parameters (Å, degrees): 9.672 9.672 8.665 90.00 90.00 53.51
Fractional positions:
Ac 0.000 0.000 0.000
Ac 0.041 0.689 0.671
Ac 0.189 0.541 0.171
Ac 0.311 0.959 0.671
Ac 0.459 0.811 0.171
Ac 0.500 0.500 0.500
Ac 0.541 0.189 0.829
Ac 0.689 0.041 0.329
Ac 0.811 0.459 0.829
Ac 0.959 0.311 0.329
Ga 0.113 0.887 0.386
Ga 0.387 0.613 0.886
Ga 0.613 0.387 0.114
Ga 0.887 0.113 0.614
Pb 0.209 0.209 0.000
Pb 0.291 0.291 0.500
Pb 0.709 0.709 0.500
Pb 0.791 0.791 0.000

The formation energy is -46 kJ/mol of atoms. The value obtained for the theoretical density is 8.61 g/cm³. The volume is 36.21 A^3/atom. The space group is Cmce.



Entry 3:
# LiHfBi2

Crystalline LiHfBi2 at its relaxed geometry (PBE, Alexandria via LeMat-Bulk).

Lattice parameters (Å, degrees): 5.203 5.203 5.203 60.00 60.00 60.00
Fractional positions:
Li 0.000 0.000 0.000
Hf 0.500 0.500 0.500
Bi 0.250 0.250 0.250
Bi 0.750 0.750 0.750

The formation energy is -6 kJ/mol of atoms. The value obtained for the theoretical density is 10.06 g/cm³. The volume is 24.89 A^3/atom. The space group is Fm-3m.



Entry 4:
# Na3TiCr3S8

Crystalline Na3TiCr3S8 at its relaxed geometry (PBE, Alexandria via LeMat-Bulk).

Lattice parameters (Å, degrees): 7.810 7.810 7.810 53.59 53.59 53.59
Fractional positions:
Na 0.000 0.500 0.500
Na 0.500 0.000 0.500
Na 0.500 0.500 0.000
Ti 0.500 0.500 0.500
Cr 0.000 0.000 0.500
Cr 0.000 0.500 0.000
Cr 0.500 0.000 0.000
S 0.229 0.736 0.736
S 0.232 0.232 0.232
S 0.264 0.264 0.771
S 0.264 0.771 0.264
S 0.736 0.229 0.736
S 0.736 0.736 0.229
S 0.768 0.768 0.768
S 0.771 0.264 0.264

The value obtained for the formation energy from raw total energies is -1.011 eV per atom. The value obtained for the theoretical density is 3.07 g/cm³. The volume is 19.09 A^3/atom. The space group is R-3m.



Entry 5:
# In2CClO

Crystalline In2CClO at its relaxed geometry (PBE, Alexandria via LeMat-Bulk).

Lattice parameters (Å, degrees): 4.610 4.610 4.221 90.00 90.00 90.00
Fractional positions:
In 0.000 0.500 0.000
In 0.500 0.000 0.000
C 0.000 0.000 0.000
Cl 0.000 0.000 0.500
O 0.500 0.500 0.500

The value obtained for the formation energy from raw total energies is 0.745 eV per atom. The value obtained for the theoretical density is 5.43 g/cm³. The volume is 17.94 A^3/atom. The space group is P4/mmm.



Entry 6:
# ZrScRe2

Crystalline ZrScRe2 at its relaxed geometry (PBE, Alexandria via LeMat-Bulk).

Lattice parameters (Å, degrees): 3.245 4.512 4.745 90.00 90.00 90.00
Fractional positions:
Zr 0.000 0.000 0.000
Sc 0.500 0.000 0.500
Re 0.000 0.500 0.500
Re 0.500 0.500 0.000

The formation energy is 3 kJ/mol of atoms. The value obtained for the theoretical density is 12.15 g/cm³. The volume is 17.37 A^3/atom. The space group is Pmmm.



Entry 7:
# Zn2GeCl6

Crystalline Zn2GeCl6 at its relaxed geometry (PBE, Alexandria via LeMat-Bulk).

Lattice parameters (Å, degrees): 8.704 8.704 6.707 99.34 99.34 85.03
Fractional positions:
Zn 0.114 0.277 0.327
Zn 0.277 0.114 0.827
Zn 0.723 0.886 0.173
Zn 0.886 0.723 0.673
Ge 0.378 0.622 0.750
Ge 0.622 0.378 0.250
Cl 0.061 0.209 0.623
Cl 0.121 0.641 0.861
Cl 0.209 0.061 0.123
Cl 0.281 0.471 0.368
Cl 0.359 0.879 0.639
Cl 0.471 0.281 0.868
Cl 0.529 0.719 0.132
Cl 0.641 0.121 0.361
Cl 0.719 0.529 0.632
Cl 0.791 0.939 0.877
Cl 0.879 0.359 0.139
Cl 0.939 0.791 0.377

The value obtained for the formation energy from raw total energies is -1.003 eV per atom. The value obtained for the theoretical density is 2.80 g/cm³. The volume is 27.44 A^3/atom. The space group is C2/c.



Entry 8:
# TbNdEr2

Crystalline TbNdEr2 at its relaxed geometry (PBE, Alexandria via LeMat-Bulk).

Lattice parameters (Å, degrees): 11.726 11.726 11.726 17.57 17.57 17.57
Fractional positions:
Tb 0.000 0.000 0.000
Nd 0.166 0.166 0.166
Er 0.415 0.415 0.415
Er 0.585 0.585 0.585

The formation energy is 2 kJ/mol of atoms. The value obtained for the theoretical density is 8.26 g/cm³. The volume is 32.05 A^3/atom. The space group is R3m.



Entry 9:
# YVSe2S

Crystalline YVSe2S at its relaxed geometry (PBE, Alexandria via LeMat-Bulk).

Lattice parameters (Å, degrees): 5.097 5.097 4.931 90.00 90.00 90.00
Fractional positions:
Y 0.000 0.000 0.000
V 0.500 0.500 0.000
Se 0.000 0.500 0.500
Se 0.500 0.000 0.500
S 0.000 0.000 0.500

The value obtained for the formation energy from raw total energies is 0.505 eV per atom. The value obtained for the theoretical density is 4.28 g/cm³. The volume is 25.62 A^3/atom. The space group is P4/mmm.



Entry 10:
# La2PaH

Crystalline La2PaH at its relaxed geometry (PBE, Alexandria via LeMat-Bulk).

Lattice parameters (Å, degrees): 9.057 9.057 9.057 22.49 22.49 22.49
Fractional positions:
La 0.229 0.229 0.229
La 0.771 0.771 0.771
Pa 0.000 0.000 0.000
H 0.500 0.500 0.500

Its energy is -5.68 eV/atom. The value obtained for the theoretical density is 8.88 g/cm³. The volume is 23.84 A^3/atom. The space group is R-3m.



Entry 11:
# YHgRu

Crystalline YHgRu at its relaxed geometry (PBE, Alexandria via LeMat-Bulk).

Lattice parameters (Å, degrees): 5.487 5.487 5.487 142.04 142.04 54.77
Fractional positions:
Y 0.000 0.000 0.000
Hg 0.691 0.691 0.000
Ru 0.346 0.346 0.000

The formation energy is -12 kJ/mol of atoms. The value obtained for the theoretical density is 10.45 g/cm³. The volume is 20.70 A^3/atom. The space group is I4mm.



Entry 12:
# Fe2Ni3Rh3

Crystalline Fe2Ni3Rh3 at its relaxed geometry (PBE, Alexandria via LeMat-Bulk).

Lattice parameters (Å, degrees): 3.728 3.748 7.228 90.00 90.00 90.00
Fractional positions:
Fe 0.000 0.000 0.245
Fe 0.000 0.000 0.755
Ni 0.000 0.500 0.000
Ni 0.500 0.500 0.245
Ni 0.500 0.500 0.755
Rh 0.000 0.500 0.500
Rh 0.500 0.000 0.000
Rh 0.500 0.000 0.500

The formation energy is -5 kJ/mol of atoms. The value obtained for the theoretical density is 9.81 g/cm³. The volume is 12.62 A^3/atom. The space group is Pmmm.



Q: Which value of theoretical density does entry 10 give?
A: 8.88 g/cm³